## 1
Below is CsHfTe4Au3 after structural relaxation, with properties calculated at the PBE-GGA level.

Properties
Calculated volume, A^3/atom: 31.9

Cell lengths 6.6063, 8.2630, 10.9278 Å; angles 90.00, 105.80, 90.00 degrees
Space group P2_1/m (No. 11)
Unique sites:
1 Cs 0.1997 0.2500 0.3920
2 Hf 0.3657 0.7500 0.2063
3 Te 0.0503 0.7500 0.9733
4 Te 0.2004 0.7500 0.4074
5 Te 0.3694 0.5171 0.7528
6 Au 0.1334 0.2500 0.8123
7 Au 0.3100 0.0465 0.0314

## 2
Below is CsHfTe4Au3 after structural relaxation, with properties calculated at the PBE-GGA level.

Properties
Calculated volume, A^3/atom: 36.9

Cell lengths 6.9248, 6.9248, 6.9248 Å; angles 90.00, 90.00, 90.00 degrees
Space group P-43m (No. 215)
Unique sites:
1 Cs 0.0000 0.0000 0.0000
2 Hf 0.5000 0.5000 0.5000
3 Te 0.2754 0.2754 0.2754
4 Au 0.0000 0.5000 0.5000

In meV/atom, relative to the most stable structure: 1 0; 2 105.

## 1
Below is CsHgAu after structural relaxation, with properties calculated at the PBE-GGA level.

Properties
Calculated volume, A^3/atom: 50.3

Cell lengths 8.4534, 8.4534, 8.4534 Å; angles 90.00, 90.00, 90.00 degrees
Space group F-43m (No. 216)
Unique sites:
1 Cs 0.0000 0.0000 0.0000
2 Hg 0.2500 0.2500 0.2500
3 Au 0.2500 0.2500 0.7500

## 2
Below is CsHgAu after structural relaxation, with properties calculated at the PBE-GGA level.

Properties
Calculated volume, A^3/atom: 36.9

Cell lengths 5.0223, 5.0223, 5.0628 Å; angles 90.00, 90.00, 120.00 degrees
Space group P3m1 (No. 156)
Unique sites:
1 Cs 0.0000 0.0000 0.0000
2 Hg 0.6667 0.3333 0.4991
3 Au 0.3333 0.6667 0.5015

In meV/atom, relative to the most stable structure: 1 203; 2 0.

## 1
Below is CsAuI4O12 after structural relaxation, with properties calculated at the PBE-GGA level.

Properties
Calculated volume, A^3/atom: 16.4

Cell lengths 13.6166, 5.5042, 8.3436 Å; angles 90.00, 108.78, 90.00 degrees
Space group C2 (No. 5)
Unique sites:
1 Cs 0.0000 0.0000 0.0000
2 Au 0.0000 0.8466 0.5000
3 I 0.1572 0.5282 0.3504
4 I 0.1778 0.5764 0.8312
5 O 0.0299 0.4639 0.2026
6 O 0.1015 0.8640 0.7352
7 O 0.1238 0.8463 0.4159
8 O 0.1483 0.3638 0.5356
9 O 0.2039 0.1692 0.2081
10 O 0.2058 0.6997 0.0454

## 2
Below is CsAuI4O12 after structural relaxation, with properties calculated at the PBE-GGA level.

Properties
Calculated volume, A^3/atom: 16.4

Cell lengths 7.5965, 7.7997, 10.7238 Å; angles 76.17, 72.82, 85.51 degrees
Space group P-1 (No. 2)
Unique sites:
1 Cs 0.0556 0.1735 0.1442
2 Au 0.4231 0.9500 0.7907
3 I 0.2313 0.7879 0.4656
4 I 0.2415 0.3549 0.7534
5 I 0.2854 0.2847 0.4221
6 I 0.3333 0.6505 0.1058
7 O 0.0387 0.4240 0.8673
8 O 0.0530 0.3131 0.3989
9 O 0.1283 0.3261 0.6277
10 O 0.1822 0.9867 0.5330
11 O 0.2097 0.1114 0.8508
12 O 0.2884 0.8478 0.1711
13 O 0.2939 0.7474 0.9352
14 O 0.3113 0.6541 0.6035
15 O 0.3418 0.5218 0.3460
16 O 0.3637 0.2167 0.2513
17 O 0.4154 0.3588 0.9423
18 O 0.4926 0.8497 0.3728

In meV/atom, relative to the most stable structure: 1 10; 2 0.

## 1
Below is CsInAu after structural relaxation, with properties calculated at the PBE-GGA level.

Properties
Calculated volume, A^3/atom: 41.0

Cell lengths 7.8966, 7.8966, 7.8966 Å; angles 90.00, 90.00, 90.00 degrees
Space group F-43m (No. 216)
Unique sites:
1 Cs 0.0000 0.0000 0.0000
2 In 0.2500 0.2500 0.7500
3 Au 0.0000 0.0000 0.5000

## 2
Below is CsInAu after structural relaxation, with properties calculated at the PBE-GGA level.

Properties
Calculated volume, A^3/atom: 46.3

Cell lengths 8.2203, 8.2203, 8.2203 Å; angles 90.00, 90.00, 90.00 degrees
Space group F-43m (No. 216)
Unique sites:
1 Cs 0.0000 0.0000 0.0000
2 In 0.2500 0.2500 0.2500
3 Au 0.2500 0.2500 0.7500

In meV/atom, relative to the most stable structure: 1 0; 2 212.

## 1
Below is CsReIrAu after structural relaxation, with properties calculated at the PBE-GGA level.

Properties
Calculated volume, A^3/atom: 19.7

Cell lengths 6.8074, 6.8074, 6.8074 Å; angles 90.00, 90.00, 90.00 degrees
Space group F-43m (No. 216)
Unique sites:
1 Cs 0.0000 0.0000 0.0000
2 Re 0.2500 0.2500 0.2500
3 Ir 0.0000 0.0000 0.5000
4 Au 0.2500 0.2500 0.7500

## 2
Below is CsReIrAu after structural relaxation, with properties calculated at the PBE-GGA level.

Properties
Calculated volume, A^3/atom: 19.4

Cell lengths 6.7717, 6.7717, 6.7717 Å; angles 90.00, 90.00, 90.00 degrees
Space group F-43m (No. 216)
Unique sites:
1 Cs 0.0000 0.0000 0.0000
2 Re 0.2500 0.2500 0.7500
3 Ir 0.2500 0.2500 0.2500
4 Au 0.0000 0.0000 0.5000

In meV/atom, relative to the most stable structure: 1 0; 2 236.

## 1
Below is CsKPAu after structural relaxation, with properties calculated at the PBE-GGA level.

Properties
Calculated volume, A^3/atom: 32.8

Cell lengths 6.4712, 6.5575, 6.4859 Å; angles 90.00, 107.42, 90.00 degrees
Space group P2_1/m (No. 11)
Unique sites:
1 Cs 0.0300 0.2500 0.1821
2 K 0.3272 0.7500 0.4859
3 P 0.2841 0.2500 0.7529
4 Au 0.5000 0.0000 0.0000

## 2
Below is CsKPAu after structural relaxation, with properties calculated at the PBE-GGA level.

Properties
Calculated volume, A^3/atom: 33.2

Cell lengths 6.7196, 10.5456, 7.4910 Å; angles 90.00, 90.00, 90.00 degrees
Space group Amm2 (No. 38)
Unique sites:
1 Cs 0.0000 0.1734 0.0000
2 K 0.5000 0.1724 0.2967
3 P 0.0000 0.0000 0.4107
4 P 0.5000 0.0000 0.8764
5 Au 0.2544 0.0000 0.6393

In meV/atom, relative to the most stable structure: 1 0; 2 10.